A relaxed Ta2CuTc crystal, computed with GGA-PBEsol.

Cell: 3.216 4.454 8.536 Å, 90.00 90.00 90.00°
Fractional positions:
Ta  0.000  0.000  0.247
Ta  0.000  0.000  0.753
Ta  0.500  0.500  0.247
Ta  0.500  0.500  0.753
Cu  0.000  0.500  0.000
Cu  0.500  0.000  0.000
Tc  0.000  0.500  0.500
Tc  0.500  0.000  0.500

Values from the calculation:
Crystal system = orthorhombic
DFT formation energy = 0.018 eV per atom
E_tot = -10.158 eV/atom